Below is an optimized crystal structure of ErTm3Mn, with properties calculated at the GGA-PBE level.

```
ErTm3Mn
1.0
5.2111 0.0000 0.0000
0.0000 5.2111 0.0000
0.0000 0.0000 5.2111
Er Tm Mn
1 3 1
Direct
0.0000 0.0000 0.0000
0.0000 0.5000 0.5000
0.5000 0.0000 0.5000
0.5000 0.5000 0.0000
0.5000 0.5000 0.5000
```

Summary:
space group	Pm-3m (221)


Below is an optimized crystal structure of UZnTcRu, with properties calculated at the GGA-PBE level.

```
UZnTcRu
1.0
3.5719 0.0000 0.0000
0.0000 4.2171 0.0000
0.0000 0.0000 4.2909
U Zn Tc Ru
1 1 1 1
Direct
0.0000 0.0000 0.0000
0.0000 0.5000 0.5000
0.5000 0.5000 0.0000
0.5000 0.0000 0.5000
```

Summary:
E above lowest polymorph	0.0000	eV per atom
space group	Pmmm (47)


Below is an optimized crystal structure of Be2Tc2W, with properties calculated at the GGA-PBE level.

```
Be2Tc2W
1.0
6.2639 0.0000 0.0000
0.0000 6.2639 0.0000
0.0000 0.0000 3.0603
Be Tc W
4 4 2
Direct
0.1189 0.3811 0.0000
0.3811 0.8811 0.0000
0.6189 0.1189 0.0000
0.8811 0.6189 0.0000
0.1746 0.6746 0.5000
0.3254 0.1746 0.5000
0.6746 0.8254 0.5000
0.8254 0.3254 0.5000
0.0000 0.0000 0.0000
0.5000 0.5000 0.0000
```

Summary:
E above lowest polymorph	0.0000	eV per atom
space group	P4/mbm (127)


no.,E_form (eV/atom),spin magnetization (μB per formula unit)
1,0.2267,0.54
2,-0.2727,0.00
3,-0.2445,0.00